# GGA-PBE Gd2DySc, relaxed
# Energy relative to the lowest polymorph listed for this composition, eV/f.u.: 0.24
data_Gd2DySc
_chemical_formula_sum 'Gd8 Dy4 Sc4'
_space_group_name_H-M_alt 'F m -3 m'
_space_group_IT_number 225
_space_group_name_Hall '-F 4 2 3'
_cell_length_a 7.8462
_cell_length_b 7.8462
_cell_length_c 7.8462
_cell_angle_alpha 90.00
_cell_angle_beta 90.00
_cell_angle_gamma 90.00
loop_
_atom_site_label
_atom_site_fract_x
_atom_site_fract_y
_atom_site_fract_z
Gd1 0.2500 0.2500 0.2500
Dy1 0.0000 0.0000 0.0000
Sc1 0.0000 0.0000 0.5000

# GGA-PBE Tb11Sm4Ho9, relaxed
# Final energy, eV/atom: -4.569
data_Tb11Sm4Ho9
_chemical_formula_sum 'Tb22 Sm8 Ho18'
_space_group_name_H-M_alt 'C m m m'
_space_group_IT_number 65
_space_group_name_Hall '-C 2 2'
_cell_length_a 16.7015
_cell_length_b 25.1337
_cell_length_c 3.6739
_cell_angle_alpha 90.00
_cell_angle_beta 90.00
_cell_angle_gamma 90.00
loop_
_atom_site_label
_atom_site_fract_x
_atom_site_fract_y
_atom_site_fract_z
Tb1 0.0000 0.0000 0.0000
Tb2 0.0000 0.1592 0.0000
Tb3 0.0000 0.3658 0.0000
Tb4 0.2097 0.5000 0.0000
Tb5 0.2261 0.1811 0.0000
Sm1 0.1546 0.3993 0.5000
Ho1 0.0000 0.5000 0.5000
Ho2 0.1016 0.2646 0.5000
Ho3 0.1398 0.0728 0.5000

# GGA-PBE LiHf2CuH, relaxed
# Final energy, eV/atom: -5.898
data_LiHf2CuH
_chemical_formula_sum 'Li1 Hf2 Cu1 H1'
_space_group_name_H-M_alt 'P 4/m m m'
_space_group_IT_number 123
_space_group_name_Hall '-P 4 2'
_cell_length_a 4.4643
_cell_length_b 4.4643
_cell_length_c 3.5152
_cell_angle_alpha 90.00
_cell_angle_beta 90.00
_cell_angle_gamma 90.00
loop_
_atom_site_label
_atom_site_fract_x
_atom_site_fract_y
_atom_site_fract_z
Li1 0.0000 0.0000 0.0000
Hf1 0.0000 0.5000 0.5000
Cu1 0.5000 0.5000 0.0000
H1 0.0000 0.0000 0.5000

# GGA-PBE BaNaOs2Pt, relaxed
# Final energy, eV/atom: -4.365
data_BaNaOs2Pt
_chemical_formula_sum 'Ba1 Na1 Os2 Pt1'
_space_group_name_H-M_alt 'P 4/m m m'
_space_group_IT_number 123
_space_group_name_Hall '-P 4 2'
_cell_length_a 4.8418
_cell_length_b 4.8418
_cell_length_c 4.9780
_cell_angle_alpha 90.00
_cell_angle_beta 90.00
_cell_angle_gamma 90.00
loop_
_atom_site_label
_atom_site_fract_x
_atom_site_fract_y
_atom_site_fract_z
Ba1 0.0000 0.0000 0.0000
Na1 0.5000 0.5000 0.5000
Os1 0.0000 0.5000 0.5000
Pt1 0.5000 0.5000 0.0000

# GGA-PBE TaCrH2, relaxed
# Energy relative to the lowest polymorph listed for this composition, eV/f.u.: 0.89
data_TaCrH2
_chemical_formula_sum 'Ta3 Cr3 H6'
_space_group_name_H-M_alt 'R -3 m'
_space_group_IT_number 166
_space_group_name_Hall '-R 3 2"'
_cell_length_a 2.9856
_cell_length_b 2.9856
_cell_length_c 15.0221
_cell_angle_alpha 90.00
_cell_angle_beta 90.00
_cell_angle_gamma 120.00
loop_
_atom_site_label
_atom_site_fract_x
_atom_site_fract_y
_atom_site_fract_z
Ta1 0.0000 0.0000 0.0000
Cr1 0.0000 0.0000 0.5000
H1 0.0000 0.0000 0.3866

# GGA-PBE BaGaGe, relaxed
# Final energy, eV/atom: -3.725
data_BaGaGe
_chemical_formula_sum 'Ba1 Ga1 Ge1'
_space_group_name_H-M_alt 'P -6 m 2'
_space_group_IT_number 187
_space_group_name_Hall 'P -6 2'
_cell_length_a 4.3838
_cell_length_b 4.3838
_cell_length_c 5.1239
_cell_angle_alpha 90.00
_cell_angle_beta 90.00
_cell_angle_gamma 120.00
loop_
_atom_site_label
_atom_site_fract_x
_atom_site_fract_y
_atom_site_fract_z
Ba1 0.0000 0.0000 0.0000
Ga1 0.3333 0.6667 0.5000
Ge1 0.6667 0.3333 0.5000

Number 5 is which compound? TaCrH2

Copy entry 2 word for word.
# GGA-PBE Tb11Sm4Ho9, relaxed
# Final energy, eV/atom: -4.569
data_Tb11Sm4Ho9
_chemical_formula_sum 'Tb22 Sm8 Ho18'
_space_group_name_H-M_alt 'C m m m'
_space_group_IT_number 65
_space_group_name_Hall '-C 2 2'
_cell_length_a 16.7015
_cell_length_b 25.1337
_cell_length_c 3.6739
_cell_angle_alpha 90.00
_cell_angle_beta 90.00
_cell_angle_gamma 90.00
loop_
_atom_site_label
_atom_site_fract_x
_atom_site_fract_y
_atom_site_fract_z
Tb1 0.0000 0.0000 0.0000
Tb2 0.0000 0.1592 0.0000
Tb3 0.0000 0.3658 0.0000
Tb4 0.2097 0.5000 0.0000
Tb5 0.2261 0.1811 0.0000
Sm1 0.1546 0.3993 0.5000
Ho1 0.0000 0.5000 0.5000
Ho2 0.1016 0.2646 0.5000
Ho3 0.1398 0.0728 0.5000